(1)
This record from the Alexandria database describes crystalline LaCl2O at its relaxed geometry. The functional is PBE.

Results
Uncorrected energy, eV per atom: -4.9343
ΔE_f (raw), meV/atom: -1540
Offset from the most stable computed form, meV/atom: 38.0

a b c (Å): 3.7740 3.7740 11.4714
angles (deg): 80.53 80.53 90.00
Last column: nearest neighbours and their distance in Å.
Sites, in units of the cell vectors:
La 0.7500 0.2500 0.5000  4 O 2.67
Cl 0.3750 0.3731 0.7500  4 Cl 2.66-2.68
Cl 0.8750 0.8769 0.7500  4 Cl 2.66-2.68
Cl 0.1231 0.6250 0.2500  4 Cl 2.66-2.68
La 0.0000 0.0000 0.0000  4 O 2.67
O 0.2500 0.7500 0.5000  4 La 2.67
Cl 0.6269 0.1250 0.2500  4 Cl 2.66-2.68
O 0.5000 0.5000 0.0000  4 La 2.67


(2)
This record from the Alexandria database describes crystalline La2ClO2 at its relaxed geometry. The functional is PBE.

Results
Uncorrected energy, eV per atom: -7.2543
ΔE_f (raw), meV/atom: -2931
Offset from the most stable computed form, meV/atom: 63.7

a b c (Å): 7.7029 7.0321 6.3062
angles (deg): 69.45 50.23 56.78
Last column: nearest neighbours and their distance in Å.
Sites, in units of the cell vectors:
O 0.4940 0.5123 0.7499  4 La 2.42-2.47
La 0.1792 0.7469 0.6368  4 O 2.37-2.48
O 0.2533 0.9933 0.2499  4 La 2.37-2.48
O 0.7467 0.0067 0.7501  4 La 2.37-2.48
O 0.5060 0.4877 0.2501  4 La 2.42-2.47
La 0.4267 0.2527 0.1366  4 O 2.37-2.48
Cl 0.8154 0.8697 0.2502  4 La 3.05-3.06, 2 O 3.25-3.26, 2 Cl 3.40-3.41
La 0.5733 0.7473 0.8634  4 O 2.37-2.48
Cl 0.1845 0.1303 0.7498  4 La 3.05-3.06, 2 O 3.25-3.26, 2 Cl 3.40-3.41
La 0.8208 0.2531 0.3632  4 O 2.37-2.48